Record 1
Fe6W6C | SCAN | PBEsol geometry

a = 7.631 Å, b = 7.631 Å, c = 7.631 Å
α = 60.00°, β = 60.00°, γ = 60.00°
Sites, in units of the cell vectors:
Fe 0.000 0.000 0.000
Fe 0.000 0.000 0.500
Fe 0.000 0.500 0.000
Fe 0.108 0.797 0.797
Fe 0.203 0.203 0.203
Fe 0.203 0.203 0.892
Fe 0.203 0.892 0.203
Fe 0.500 0.000 0.000
Fe 0.797 0.108 0.797
Fe 0.797 0.797 0.108
Fe 0.797 0.797 0.797
Fe 0.892 0.203 0.203
W 0.176 0.176 0.574
W 0.176 0.574 0.176
W 0.176 0.574 0.574
W 0.426 0.426 0.824
W 0.426 0.824 0.426
W 0.426 0.824 0.824
W 0.574 0.176 0.176
W 0.574 0.176 0.574
W 0.574 0.574 0.176
W 0.824 0.426 0.426
W 0.824 0.426 0.824
W 0.824 0.824 0.426
C 0.375 0.375 0.375
C 0.625 0.625 0.625



Record 2
Fe21W2C6 | SCAN | PBEsol geometry

a = 7.209 Å, b = 7.209 Å, c = 7.209 Å
α = 60.00°, β = 60.00°, γ = 60.00°
Sites, in units of the cell vectors:
Fe 0.000 0.000 0.000
Fe 0.000 0.000 0.335
Fe 0.000 0.000 0.665
Fe 0.000 0.335 0.000
Fe 0.000 0.335 0.665
Fe 0.000 0.665 0.000
Fe 0.000 0.665 0.335
Fe 0.151 0.616 0.616
Fe 0.335 0.000 0.000
Fe 0.335 0.000 0.665
Fe 0.335 0.665 0.000
Fe 0.384 0.384 0.384
Fe 0.384 0.384 0.849
Fe 0.384 0.849 0.384
Fe 0.616 0.151 0.616
Fe 0.616 0.616 0.151
Fe 0.616 0.616 0.616
Fe 0.665 0.000 0.000
Fe 0.665 0.000 0.335
Fe 0.665 0.335 0.000
Fe 0.849 0.384 0.384
W 0.250 0.250 0.250
W 0.750 0.750 0.750
C 0.275 0.275 0.725
C 0.275 0.725 0.275
C 0.275 0.725 0.725
C 0.725 0.275 0.275
C 0.725 0.275 0.725
C 0.725 0.725 0.275



Record 3
Fe3W3C | SCAN | PBEsol geometry

a = 7.736 Å, b = 7.736 Å, c = 7.736 Å
α = 60.00°, β = 60.00°, γ = 60.00°
Sites, in units of the cell vectors:
Fe 0.000 0.000 0.000
Fe 0.000 0.000 0.500
Fe 0.000 0.500 0.000
Fe 0.106 0.798 0.798
Fe 0.202 0.202 0.202
Fe 0.202 0.202 0.894
Fe 0.202 0.894 0.202
Fe 0.500 0.000 0.000
Fe 0.798 0.106 0.798
Fe 0.798 0.798 0.106
Fe 0.798 0.798 0.798
Fe 0.894 0.202 0.202
W 0.171 0.171 0.579
W 0.171 0.579 0.171
W 0.171 0.579 0.579
W 0.421 0.421 0.829
W 0.421 0.829 0.421
W 0.421 0.829 0.829
W 0.579 0.171 0.171
W 0.579 0.171 0.579
W 0.579 0.579 0.171
W 0.829 0.421 0.421
W 0.829 0.421 0.829
W 0.829 0.829 0.421
C 0.000 0.500 0.500
C 0.500 0.000 0.500
C 0.500 0.500 0.000
C 0.500 0.500 0.500



Record-wise formation enthalpy at 0 K values, in eV per atom: 0.105, 0.126, 0.126
Record-wise M_tot values, in Bohr magnetons per cell: 1.21, 35.10, 3.34